Crystalline Sr4N2Cl at its relaxed geometry. Source: Alexandria via LeMat-Bulk, functional GGA-PBE.

Lattice parameters (Å, degrees): 14.306 14.306 14.306 15.62 15.62 15.62
Atoms (fractional coordinates):
Sr (0.116, 0.116, 0.116)
Sr (0.281, 0.281, 0.281)
Sr (0.719, 0.719, 0.719)
Sr (0.884, 0.884, 0.884)
N (0.417, 0.417, 0.417)
N (0.583, 0.583, 0.583)
Cl (0.000, 0.000, 0.000)

formation energy (no corrections): -1050.7 meV per atom
size of the total moment: 0.0 μB per cell
ΔE to the lowest computed polymorph: 0 meV per atom
space-group type: R-3m (166)

Crystalline NaNi2Se3 at its relaxed geometry. Source: Alexandria via LeMat-Bulk, functional GGA-PBE.

Lattice parameters (Å, degrees): 7.068 7.068 5.906 90.00 90.00 120.00
Atoms (fractional coordinates):
Na (0.333, 0.667, 0.384)
Na (0.667, 0.333, 0.616)
Ni (0.000, 0.000, 0.000)
Ni (0.000, 0.500, 0.000)
Ni (0.500, 0.000, 0.000)
Ni (0.500, 0.500, 0.000)
Se (0.172, 0.344, 0.802)
Se (0.172, 0.828, 0.802)
Se (0.344, 0.172, 0.198)
Se (0.656, 0.828, 0.802)
Se (0.828, 0.172, 0.198)
Se (0.828, 0.656, 0.198)

formation energy (no corrections): -465.1 meV per atom
size of the total moment: 0.0 μB per cell
space-group type: P-3m1 (164)

Crystalline NdSm2Ag3Se6 at its relaxed geometry. Source: Alexandria via LeMat-Bulk, functional GGA-PBE.

Lattice parameters (Å, degrees): 8.419 8.419 9.892 103.63 103.63 29.69
Atoms (fractional coordinates):
Nd (0.000, 0.000, 0.000)
Sm (0.339, 0.339, 0.661)
Sm (0.661, 0.661, 0.339)
Ag (0.000, 0.000, 0.500)
Ag (0.328, 0.328, 0.039)
Ag (0.672, 0.672, 0.961)
Se (0.158, 0.158, 0.534)
Se (0.187, 0.187, 0.142)
Se (0.484, 0.484, 0.202)
Se (0.516, 0.516, 0.798)
Se (0.813, 0.813, 0.858)
Se (0.842, 0.842, 0.466)

formation energy (no corrections): -1179.4 meV per atom
size of the total moment: 0.0 μB per cell
space-group type: C2/m (12)

Crystalline NaCaLa2Te4 at its relaxed geometry. Source: Alexandria via LeMat-Bulk, functional GGA-PBE.

Lattice parameters (Å, degrees): 7.909 4.565 7.929 90.00 109.31 90.00
Atoms (fractional coordinates):
Na (0.000, 0.000, 0.000)
Ca (0.500, 0.500, 0.000)
La (0.000, 0.500, 0.500)
La (0.500, 0.000, 0.500)
Te (0.251, 0.500, 0.248)
Te (0.253, 0.000, 0.756)
Te (0.747, 0.000, 0.244)
Te (0.749, 0.500, 0.752)

formation energy (no corrections): -1499.0 meV per atom
size of the total moment: 0.0 μB per cell
space-group type: P2/m (10)

Copy entry 2 word for word.
Crystalline NaNi2Se3 at its relaxed geometry. Source: Alexandria via LeMat-Bulk, functional GGA-PBE.

Lattice parameters (Å, degrees): 7.068 7.068 5.906 90.00 90.00 120.00
Atoms (fractional coordinates):
Na (0.333, 0.667, 0.384)
Na (0.667, 0.333, 0.616)
Ni (0.000, 0.000, 0.000)
Ni (0.000, 0.500, 0.000)
Ni (0.500, 0.000, 0.000)
Ni (0.500, 0.500, 0.000)
Se (0.172, 0.344, 0.802)
Se (0.172, 0.828, 0.802)
Se (0.344, 0.172, 0.198)
Se (0.656, 0.828, 0.802)
Se (0.828, 0.172, 0.198)
Se (0.828, 0.656, 0.198)

formation energy (no corrections): -465.1 meV per atom
size of the total moment: 0.0 μB per cell
space-group type: P-3m1 (164)

Please write out number 1 again, unchanged.
Crystalline Sr4N2Cl at its relaxed geometry. Source: Alexandria via LeMat-Bulk, functional GGA-PBE.

Lattice parameters (Å, degrees): 14.306 14.306 14.306 15.62 15.62 15.62
Atoms (fractional coordinates):
Sr (0.116, 0.116, 0.116)
Sr (0.281, 0.281, 0.281)
Sr (0.719, 0.719, 0.719)
Sr (0.884, 0.884, 0.884)
N (0.417, 0.417, 0.417)
N (0.583, 0.583, 0.583)
Cl (0.000, 0.000, 0.000)

formation energy (no corrections): -1050.7 meV per atom
size of the total moment: 0.0 μB per cell
ΔE to the lowest computed polymorph: 0 meV per atom
space-group type: R-3m (166)

Number 1 is which compound? Sr4N2Cl

Which formula does entry 2 have? NaNi2Se3